<i>
Ho3Ni2: single point on PBEsol structure, SCAN.

Cell: 6.760 6.760 9.305 Å, 104.84 104.84 30.62°
Atoms (fractional coordinates):
Ho 0.097 0.097 0.173
Ho 0.356 0.356 0.132
Ho 0.368 0.368 0.502
Ho 0.632 0.632 0.498
Ho 0.644 0.644 0.868
Ho 0.903 0.903 0.827
Ni 0.035 0.035 0.645
Ni 0.244 0.244 0.727
Ni 0.756 0.756 0.273
Ni 0.965 0.965 0.355

<ii>
Ho3Ni2: single point on PBEsol structure, SCAN.

Cell: 7.048 7.048 7.048 Å, 72.82 72.82 72.82°
Atoms (fractional coordinates):
Ho 0.000 0.000 0.000
Ho 0.171 0.387 0.663
Ho 0.207 0.207 0.207
Ho 0.337 0.829 0.613
Ho 0.387 0.663 0.171
Ho 0.613 0.337 0.829
Ho 0.663 0.171 0.387
Ho 0.793 0.793 0.793
Ho 0.829 0.613 0.337
Ni 0.039 0.856 0.413
Ni 0.144 0.587 0.961
Ni 0.413 0.039 0.856
Ni 0.587 0.961 0.144
Ni 0.856 0.413 0.039
Ni 0.961 0.144 0.587

Most stable of them? <i>.